# Ce2NiH6Ru

Crystalline Ce2NiH6Ru at its relaxed geometry (PBE, the Alexandria database).

Cell: 5.195 5.208 7.353 Å, 90.00 90.00 90.00°
Space group Immm (No. 71)
Asymmetric unit:
Ce 0.000 0.000 0.250 (multiplicity 4)
Ni 0.000 0.500 0.000 (multiplicity 2)
H 0.000 0.500 0.249 (multiplicity 4)
H 0.249 0.251 0.000 (multiplicity 8)
Ru 0.000 0.500 0.500 (multiplicity 2)

Computed properties:
Density ... 7.45 g/cm3
Uncorrected energy ... -5.127 eV/atom



# CeNi2H8Ru

Crystalline CeNi2H8Ru at its relaxed geometry (PBE, the Alexandria database).

Cell: 4.5675 4.5675 15.6551 Å, 90.00 90.00 120.00°
Space group R-3 (No. 148, hexagonal axes)
Asymmetric unit:
Ce 0.0000 0.0000 0.0000 (multiplicity 3)
Ni 0.0000 0.0000 0.2176 (multiplicity 6)
H 0.0000 0.0000 0.3180 (multiplicity 6)
H 0.0157 0.3665 0.7809 (multiplicity 18)
Ru 0.0000 0.0000 0.5000 (multiplicity 3)

Computed properties:
Density ... 6.46 g/cm3
Uncorrected energy ... -4.615 eV/atom



# CeNiSbH

Crystalline CeNiSbH at its relaxed geometry (PBE, the Alexandria database).

Cell: 4.2921 4.2921 4.2653 Å, 90.00 90.00 120.00°
Space group P3m1 (No. 156)
Asymmetric unit:
Ce 0.0000 0.0000 0.0000 (multiplicity 1)
Ni 0.6667 0.3333 0.6129 (multiplicity 1)
Sb 0.3333 0.6667 0.4794 (multiplicity 1)
H 0.6667 0.3333 0.9848 (multiplicity 1)

Computed properties:
Density ... 7.85 g/cm3
Uncorrected energy ... -5.565 eV/atom



# Ce2SiNiH

Crystalline Ce2SiNiH at its relaxed geometry (PBE, the Alexandria database).

Cell: 6.098 3.975 7.992 Å, 90.00 107.57 90.00°
Space group P2_1/m (No. 11)
Asymmetric unit:
Ce 0.216 0.250 0.408 (multiplicity 2)
Ce 0.245 0.250 0.964 (multiplicity 2)
Si 0.334 0.750 0.706 (multiplicity 2)
Ni 0.441 0.750 0.241 (multiplicity 2)
H 0.163 0.750 0.174 (multiplicity 2)

Computed properties:
Density ... 6.62 g/cm3
Uncorrected energy ... -5.834 eV/atom



# CeSiNiH

Crystalline CeSiNiH at its relaxed geometry (PBE, the Alexandria database).

Cell: 4.0755 4.0755 4.0206 Å, 90.00 90.00 120.00°
Space group P3m1 (No. 156)
Asymmetric unit:
Ce 0.0000 0.0000 0.0000 (multiplicity 1)
Si 0.3333 0.6667 0.4885 (multiplicity 1)
Ni 0.6667 0.3333 0.5335 (multiplicity 1)
H 0.6667 0.3333 0.9453 (multiplicity 1)

Computed properties:
Density ... 6.54 g/cm3
Uncorrected energy ... -5.812 eV/atom



# CeSiNi2H

Crystalline CeSiNi2H at its relaxed geometry (PBE, the Alexandria database).

Cell: 3.863 10.502 6.504 Å, 90.00 90.00 90.00°
Space group Cmcm (No. 63)
Asymmetric unit:
Ce 0.000 0.068 0.250 (multiplicity 4)
Si 0.000 0.215 0.750 (multiplicity 4)
Ni 0.000 0.333 0.055 (multiplicity 8)
H 0.000 0.500 0.000 (multiplicity 4)

Computed properties:
Density ... 7.21 g/cm3
Uncorrected energy ... -5.907 eV/atom



# CeNiSnH

Crystalline CeNiSnH at its relaxed geometry (PBE, the Alexandria database).

Cell: 7.240 4.382 8.288 Å, 90.00 90.00 90.00°
Space group Pnma (No. 62)
Asymmetric unit:
Ce 0.011 0.250 0.193 (multiplicity 4)
Ni 0.218 0.750 0.398 (multiplicity 4)
Sn 0.170 0.250 0.573 (multiplicity 4)
H 0.056 0.250 0.918 (multiplicity 4)

Computed properties:
Density ... 8.05 g/cm3
Uncorrected energy ... -5.336 eV/atom
ΔE to the lowest computed polymorph ... 0.00 eV/f.u.



# CeNiSnH

Crystalline CeNiSnH at its relaxed geometry (PBE, the Alexandria database).

Cell: 4.5045 4.5045 3.7528 Å, 90.00 90.00 120.00°
Space group P3m1 (No. 156)
Asymmetric unit:
Ce 0.0000 0.0000 0.0000 (multiplicity 1)
Ni 0.6667 0.3333 0.5027 (multiplicity 1)
Sn 0.3333 0.6667 0.4997 (multiplicity 1)
H 0.6667 0.3333 0.9995 (multiplicity 1)

Computed properties:
Density ... 8.02 g/cm3
Uncorrected energy ... -5.321 eV/atom
ΔE to the lowest computed polymorph ... 0.06 eV/f.u.



# CeNi2SnH8

Crystalline CeNi2SnH8 at its relaxed geometry (PBE, the Alexandria database).

Cell: 4.3417 4.3417 20.5710 Å, 90.00 90.00 120.00°
Space group R-3 (No. 148, hexagonal axes)
Asymmetric unit:
Ce 0.0000 0.0000 0.0000 (multiplicity 3)
Ni 0.0000 0.0000 0.2503 (multiplicity 6)
Sn 0.0000 0.0000 0.5000 (multiplicity 3)
H 0.0000 0.0000 0.3269 (multiplicity 6)
H 0.9996 0.2935 0.9026 (multiplicity 18)

Computed properties:
Density ... 5.70 g/cm3
Uncorrected energy ... -4.041 eV/atom



# SrCeNi2H8

Crystalline SrCeNi2H8 at its relaxed geometry (PBE, the Alexandria database).

Cell: 4.5876 4.5876 19.6585 Å, 90.00 90.00 120.00°
Space group R-3m (No. 166, hexagonal axes)
Asymmetric unit:
Sr 0.0000 0.0000 0.0000 (multiplicity 3)
Ce 0.0000 0.0000 0.5000 (multiplicity 3)
Ni 0.0000 0.0000 0.2310 (multiplicity 6)
H 0.0000 0.0000 0.1495 (multiplicity 6)
H 0.0246 0.5123 0.0668 (multiplicity 18)

Computed properties:
Density ... 4.91 g/cm3
Uncorrected energy ... -4.103 eV/atom



# Sr2CeNi3H12

Crystalline Sr2CeNi3H12 at its relaxed geometry (PBE, the Alexandria database).

Cell: 6.4769 6.4769 14.6969 Å, 90.00 90.00 120.00°
Space group R-3m (No. 166, hexagonal axes)
Asymmetric unit:
Sr 0.0000 0.0000 0.1121 (multiplicity 6)
Ce 0.0000 0.0000 0.5000 (multiplicity 3)
Ni 0.0000 0.5000 0.0000 (multiplicity 9)
H 0.0404 0.5202 0.8916 (multiplicity 18)
H 0.0883 0.5441 0.3126 (multiplicity 18)

Computed properties:
Density ... 4.70 g/cm3
Uncorrected energy ... -4.013 eV/atom



# TbCeNi2H8

Crystalline TbCeNi2H8 at its relaxed geometry (PBE, the Alexandria database).

Cell: 4.3849 4.3849 19.3113 Å, 90.00 90.00 120.00°
Space group R-3m (No. 166, hexagonal axes)
Asymmetric unit:
Tb 0.0000 0.0000 0.0000 (multiplicity 3)
Ce 0.0000 0.0000 0.5000 (multiplicity 3)
Ni 0.0000 0.0000 0.2426 (multiplicity 6)
H 0.0000 0.0000 0.1591 (multiplicity 6)
H 0.0414 0.5207 0.0575 (multiplicity 18)

Computed properties:
Density ... 6.58 g/cm3
Uncorrected energy ... -4.426 eV/atom